1.
Compound: AsBrCl2
Source: Alexandria via LeMat-Bulk
Functional: PBE
Structure: relaxed

The structure in POSCAR format:
```
AsBrCl2
1.0
-2.2963 0.8357 -3.5703
2.2953 -3.1145 -2.2053
-2.9962 -3.0646 1.2097
Br As Cl
1 1 2
direct
0.5000 0.0000 0.5000
0.5000 0.5000 0.0000
0.0000 0.5000 0.5000
0.0000 0.0000 0.0000
```

Summary:
Formation energy (no corrections) ... 0.5122 eV per atom
Distance to the lowest polymorph of the same formula ... 1131 meV per atom



2.
Compound: Ac2Al3Rh2
Source: Alexandria via LeMat-Bulk
Functional: PBE
Structure: relaxed

The structure in POSCAR format:
```
Ac2Al3Rh2
1.0
4.1745 0.0000 0.0000
-2.0873 5.5867 -0.4487
0.0000 -3.1518 6.9775
Al Rh Ac
3 2 2
direct
0.5000 0.0000 0.0000
0.3446 0.6892 0.5671
0.6554 0.3108 0.4329
0.1292 0.2584 0.2124
0.8708 0.7416 0.7876
0.8628 0.7255 0.2335
0.1372 0.2745 0.7665
```

Summary:
Formation enthalpy at 0 K ... -721.4 meV per atom



3.
Compound: CeNd3Hg2
Source: Alexandria via LeMat-Bulk
Functional: PBE
Structure: relaxed

The structure in POSCAR format:
```
CeNd3Hg2
1.0
3.7236 0.0000 0.0000
0.0000 3.7236 0.0000
0.0000 0.0000 12.6645
Hg Ce Nd
2 1 3
direct
0.5000 0.5000 0.1610
0.5000 0.5000 0.8390
0.5000 0.5000 0.5000
0.0000 0.0000 0.0000
0.0000 0.0000 0.6830
0.0000 0.0000 0.3170
```

Summary:
Formation enthalpy at 0 K ... -284.3 meV per atom
Distance to the lowest polymorph of the same formula ... 0 meV per atom



4.
Compound: Zr2BS2
Source: Alexandria via LeMat-Bulk
Functional: PBE
Structure: relaxed

The structure in POSCAR format:
```
Zr2BS2
1.0
-2.8195 2.0287 0.6890
-1.9432 -2.9010 0.5901
-0.6790 -0.2631 7.0966
S Zr B
2 2 1
direct
0.7500 0.2500 0.5000
0.2500 0.7500 0.5000
0.6059 0.6059 0.7882
0.3941 0.3941 0.2118
0.0000 0.0000 0.0000
```

Summary:
Formation energy (no corrections) ... -0.1243 eV per atom
Distance to the lowest polymorph of the same formula ... 563 meV per atom